Entry 1:
Computed, not measured: an optimized crystal structure of TaCuHgPb at the PBE level of DFT.

Cell lengths 4.837, 4.837, 4.837 Å; angles 60.00, 60.00, 60.00 degrees
Sites, in units of the cell vectors:
Cu 0.750 0.750 0.750
Hg 0.500 0.500 0.500
Pb 0.000 0.000 0.000
Ta 0.250 0.250 0.250

The electronic total energy is -4.1646 eV/atom. The crystal system is cubic. The space-group type is F-43m. The value obtained for the density is 13.54 g cm⁻³.

***

Entry 2:
Computed, not measured: an optimized crystal structure of CuTcHgPb at the PBE level of DFT.

Cell lengths 4.698, 4.698, 4.698 Å; angles 60.00, 60.00, 60.00 degrees
Sites, in units of the cell vectors:
Cu 0.750 0.750 0.750
Hg 0.500 0.500 0.500
Pb 0.000 0.000 0.000
Tc 0.250 0.250 0.250

The electronic total energy is -3.8828 eV/atom. The crystal system is cubic. The space-group type is F-43m. The value obtained for the density is 12.89 g cm⁻³.

***

Q: What is the formula in the second record?
A: CuTcHgPb